(1)
## ScOsCl2 (PBE)

Data for an optimized crystal structure of ScOsCl2.

```
4
Lattice="6.9857 -1.5600 0.0000 6.9857 1.5600 0.0000 -1.1766 0.0000 3.9012" Properties=species:S:1:pos:R:3 pbc="T T T"
Sc 0.0000 0.0000 0.0000
Os 8.8952 0.0000 0.5745
Cl 1.3800 0.0000 2.5428
Cl 5.2190 0.0000 1.5951
```

Output
Raw formation energy, eV per atom: -0.29
Final energy, eV per atom: -5.601
ΔE to the lowest computed polymorph, meV/atom: 259

***

(2)
## Li3ZrNi (PBE)

Data for an optimized crystal structure of Li3ZrNi.

```
5
Lattice="4.3460 0.0000 0.0000 0.0000 4.3460 0.0000 0.0000 0.0000 4.3460" Properties=species:S:1:pos:R:3 pbc="T T T"
Li 0.0000 0.0000 2.1730
Li 0.0000 2.1730 0.0000
Li 2.1730 0.0000 0.0000
Zr 2.1730 2.1730 2.1730
Ni 0.0000 0.0000 0.0000
```

Output
Energy relative to the elements, eV/atom: 0.54
Final energy, eV per atom: -3.478
ΔE to the lowest computed polymorph, meV/atom: 0

***

(3)
## PmThRh2 (PBE)

Data for an optimized crystal structure of PmThRh2.

```
4
Lattice="0.0000 3.5384 3.5384 3.5384 0.0000 3.5384 3.5384 3.5384 0.0000" Properties=species:S:1:pos:R:3 pbc="T T T"
Pm 0.0000 0.0000 0.0000
Th 3.5384 3.5384 3.5384
Rh 1.7692 1.7692 1.7692
Rh 5.3075 5.3075 5.3075
```

Output
Energy relative to the elements, eV/atom: -0.73
Final energy, eV per atom: -7.446
ΔE to the lowest computed polymorph, meV/atom: 127

***

(4)
## Ac3TlGe4 (PBE)

Data for an optimized crystal structure of Ac3TlGe4.

```
8
Lattice="-2.3533 3.1956 8.2622 2.3533 -3.1956 8.2622 2.3533 3.1956 -8.2622" Properties=species:S:1:pos:R:3 pbc="T T T"
Ac 0.0000 0.0000 0.0000
Ac 2.3533 0.0000 5.1866
Ac 0.0000 3.1956 3.0756
Tl 0.0000 0.0000 8.2622
Ge 2.3533 1.2307 -2.1386
Ge 2.3533 1.2307 2.1386
Ge 0.0000 1.9649 6.1235
Ge 0.0000 1.9649 10.4008
```

Output
Energy relative to the elements, eV/atom: -0.49
Final energy, eV per atom: -4.631

***

(5)
## Cs4K2SnBi2 (PBE)

Data for an optimized crystal structure of Cs4K2SnBi2.

```
9
Lattice="8.2252 -5.7636 0.0000 8.2252 5.7636 0.0000 -2.0762 0.0000 5.4832" Properties=species:S:1:pos:R:3 pbc="T T T"
Cs 4.2572 3.4651 4.7563
Cs 10.1171 3.4651 0.7269
Cs 4.2572 -3.4651 4.7563
Cs 10.1171 -3.4651 0.7269
K 5.1242 0.0000 1.9472
K 9.2500 0.0000 3.5360
Sn -1.0381 0.0000 2.7416
Bi 2.0337 0.0000 3.9136
Bi 12.3405 0.0000 1.5696
```

Output
Energy relative to the elements, eV/atom: -0.18
Final energy, eV per atom: -2.107

***

(6)
## FeBrCl2 (PBE)

Data for an optimized crystal structure of FeBrCl2.

```
4
Lattice="3.1251 0.0000 0.0000 0.0000 3.1251 0.0000 0.0000 0.0000 9.5938" Properties=species:S:1:pos:R:3 pbc="T T T"
Fe 0.0000 0.0000 0.0000
Br 1.5626 1.5626 1.6772
Cl 0.0000 0.0000 4.8625
Cl 1.5626 1.5626 8.1486
```

Output
Raw formation energy, eV per atom: 0.03
Final energy, eV per atom: -3.427
ΔE to the lowest computed polymorph, meV/atom: 663

***

(7)
## Nd2BN4 (PBE)

Data for an optimized crystal structure of Nd2BN4.

```
14
Lattice="5.6980 0.0000 0.0000 0.0000 4.3793 0.0000 -0.6838 0.0000 8.0993" Properties=species:S:1:pos:R:3 pbc="T T T"
Nd 0.9975 1.0948 3.3488
Nd 0.6304 1.0948 7.7285
Nd 4.3838 3.2845 0.3708
Nd 4.0166 3.2845 4.7505
B 0.9539 3.2845 5.8956
B 4.0603 1.0948 2.2037
N -0.2507 3.2845 6.8096
N 0.8648 3.2845 4.4162
N 2.2722 2.5870 6.5557
N 2.2722 3.9820 6.5557
N 2.7419 0.3973 1.5436
N 2.7419 1.7923 1.5436
N 4.1493 1.0948 3.6831
N 5.2648 1.0948 1.2897
```

Output
Raw formation energy, eV per atom: -0.87
Final energy, eV per atom: -7.940

***

(8)
## Mn3AlH (PBE)

Data for an optimized crystal structure of Mn3AlH.

```
10
Lattice="4.2443 -1.8525 0.0000 4.2443 1.8525 0.0000 -2.9577 0.0000 6.4945" Properties=species:S:1:pos:R:3 pbc="T T T"
Mn 0.0000 0.0000 0.0000
Mn -1.5116 0.0000 3.3918
Mn -0.3654 0.0000 5.5397
Mn 2.0818 0.0000 4.9798
Mn 5.9534 0.0000 0.9183
Mn 4.5565 0.0000 4.1435
Al 0.9877 0.0000 2.6283
Al 3.4917 0.0000 1.6490
H 1.6495 0.0000 0.5170
H 3.8274 0.0000 5.7961
```

Output
Final energy, eV per atom: -6.988

***

(9)
## Rb4La3PmTe8 (PBE)

Data for an optimized crystal structure of Rb4La3PmTe8.

```
16
Lattice="4.7127 2.7209 8.5476 -4.7127 2.7209 8.5476 0.0000 -5.4417 8.5476" Properties=species:S:1:pos:R:3 pbc="T T T"
Rb 0.0000 0.0000 0.0000
Rb -2.3563 -1.3604 8.5476
Rb -2.3563 1.3604 17.0952
Rb 0.0000 2.7209 8.5476
La -4.7127 0.0000 12.8214
La -2.3563 1.3604 4.2738
La 2.3563 1.3604 4.2738
Pm 0.0000 0.0000 12.8214
Te 0.0000 0.0000 6.0445
Te -2.3214 -1.3403 14.5758
Te 0.0000 -2.6805 11.0669
Te -2.3214 1.3402 11.0669
Te 2.3214 -1.3402 14.5758
Te 0.0000 2.6805 14.5758
Te 2.3214 1.3402 11.0669
Te 0.0000 0.0000 19.5983
```

Output
Raw formation energy, eV per atom: -1.47
Final energy, eV per atom: -4.504

***

(10)
## SnBiAs2 (PBE)

Data for an optimized crystal structure of SnBiAs2.

```
8
Lattice="-3.5386 3.5386 5.1896 3.5386 -3.5386 5.1896 3.5386 3.5386 -5.1896" Properties=species:S:1:pos:R:3 pbc="T T T"
Sn 0.0000 0.0000 0.0000
Sn 0.0000 3.5386 2.5948
Bi 3.5386 0.0000 2.5948
Bi 0.0000 0.0000 5.1896
As 5.3079 1.6199 -1.2974
As 1.6199 1.7693 1.2974
As -1.7693 1.9187 3.8922
As 1.9187 1.7693 6.4870
```

Output
Energy relative to the elements, eV/atom: 0.14
Final energy, eV per atom: -4.151
ΔE to the lowest computed polymorph, meV/atom: 161

***

(11)
## ScCo2Re (PBE)

Data for an optimized crystal structure of ScCo2Re.

```
4
Lattice="-1.3650 2.1576 4.6857 1.3650 -2.1576 4.6857 1.3650 2.1576 -4.6857" Properties=species:S:1:pos:R:3 pbc="T T T"
Sc 0.0000 0.0000 0.0000
Co 1.3650 0.0000 2.5490
Co 0.0000 0.0000 4.6107
Re 0.0000 2.1576 2.0278
```

Output
Energy relative to the elements, eV/atom: 0.06
Final energy, eV per atom: -8.192
ΔE to the lowest computed polymorph, meV/atom: 138

***

(12)
## Ti3InTe6 (PBE)

Data for an optimized crystal structure of Ti3InTe6.

```
20
Lattice="12.2255 0.0000 0.0000 0.0000 3.7910 0.0000 -3.6704 0.0000 11.8482" Properties=species:S:1:pos:R:3 pbc="T T T"
Ti -0.2816 0.9478 1.6754
Ti -0.3767 0.9478 9.1460
Ti 2.6126 2.8433 5.4647
Ti 5.9425 0.9478 6.3835
Ti 8.9319 2.8433 2.7022
Ti 8.8367 2.8433 10.1728
In 4.2612 2.8433 1.4000
In 4.2939 0.9478 10.4482
Te -1.9187 2.8433 7.8396
Te -1.8365 0.9478 11.5549
Te 1.2328 2.8433 2.9994
Te 1.0698 0.9478 6.6713
Te 1.3682 2.8433 10.1366
Te 4.2323 0.9478 4.2090
Te 4.3229 2.8433 7.6391
Te 7.1869 0.9478 1.7116
Te 7.4853 2.8433 5.1768
Te 7.3223 0.9478 8.8488
Te 10.3916 2.8433 0.2933
Te 10.4738 0.9478 4.0086
```

Output
Raw formation energy, eV per atom: -0.57
Final energy, eV per atom: -5.100

***

(13)
## ZnAsCl2 (PBE)

Data for an optimized crystal structure of ZnAsCl2.

```
4
Lattice="1.7737 -3.1482 0.0000 1.7737 3.1482 0.0000 0.0000 0.0000 9.0654" Properties=species:S:1:pos:R:3 pbc="T T T"
Zn 0.0000 0.0000 0.0000
As 1.7737 0.0000 7.1180
Cl 0.0000 0.0000 5.2990
Cl 1.7737 0.0000 1.5319
```

Output
Raw formation energy, eV per atom: -0.24
Final energy, eV per atom: -2.644
ΔE to the lowest computed polymorph, meV/atom: 186

***

(14)
## Sm2SiI3 (PBE)

Data for an optimized crystal structure of Sm2SiI3.

```
12
Lattice="9.6417 -2.3273 0.0000 9.6417 2.3273 0.0000 -7.1554 0.0000 10.1960" Properties=species:S:1:pos:R:3 pbc="T T T"
Sm -1.0588 0.0000 4.3973
Sm 5.5545 0.0000 2.2166
Sm 6.5736 0.0000 7.9795
Sm 13.1869 0.0000 5.7987
Si -3.3263 0.0000 6.2607
Si 15.4544 0.0000 3.9354
I 3.1762 0.0000 0.0043
I 2.4444 0.0000 3.8548
I 3.2651 0.0000 7.9500
I 8.8630 0.0000 2.2460
I 9.6837 0.0000 6.3412
I 8.9519 0.0000 10.1917
```

Output
Raw formation energy, eV per atom: -1.03
Final energy, eV per atom: -4.283

***

(15)
## Dy7Pb4C (PBE)

Data for an optimized crystal structure of Dy7Pb4C.

```
12
Lattice="8.1020 -2.5313 0.0000 8.1020 2.5313 0.0000 -6.9798 0.0000 8.9267" Properties=species:S:1:pos:R:3 pbc="T T T"
Dy 0.0000 0.0000 0.0000
Dy -1.5712 0.0000 4.8415
Dy 3.5209 0.0000 1.2054
Dy 1.8218 0.0000 6.7609
Dy 7.4023 0.0000 2.1658
Dy 5.7033 0.0000 7.7213
Dy 10.7953 0.0000 4.0851
Pb -4.0791 0.0000 6.9606
Pb 1.1647 0.0000 3.1052
Pb 8.0595 0.0000 5.8215
Pb 13.3032 0.0000 1.9661
C 8.1020 0.0000 0.0000
```

Output
Energy relative to the elements, eV/atom: -0.22
Final energy, eV per atom: -4.906

***

(16)
## Nd4BiTe3 (PBE)

Data for an optimized crystal structure of Nd4BiTe3.

```
8
Lattice="4.5455 -6.4015 0.0000 4.5455 6.4015 0.0000 0.0000 0.0000 4.5112" Properties=species:S:1:pos:R:3 pbc="T T T"
Nd 2.2667 0.0000 2.2556
Nd 4.5455 3.2073 0.0000
Nd 4.5455 -3.2073 0.0000
Nd 6.8243 0.0000 2.2556
Bi 4.5455 0.0000 0.0000
Te 0.0000 0.0000 0.0000
Te 2.2727 3.2008 2.2556
Te 2.2727 -3.2008 2.2556
```

Output
Raw formation energy, eV per atom: -1.32
Final energy, eV per atom: -5.364

***

(17)
## CsNa7Ta8O24 (PBE)

Data for an optimized crystal structure of CsNa7Ta8O24.

```
40
Lattice="8.0031 0.0000 0.0000 0.0000 8.0031 0.0000 0.0000 0.0000 8.0031" Properties=species:S:1:pos:R:3 pbc="T T T"
Cs 0.0000 0.0000 0.0000
Na 0.0000 0.0000 4.0016
Na 0.0000 4.0016 0.0000
Na 0.0000 4.0016 4.0016
Na 4.0016 0.0000 0.0000
Na 4.0016 0.0000 4.0016
Na 4.0016 4.0016 0.0000
Na 4.0016 4.0016 4.0016
Ta 2.0180 2.0180 2.0180
Ta 2.0180 2.0180 5.9851
Ta 2.0180 5.9851 2.0180
Ta 2.0180 5.9851 5.9851
Ta 5.9851 2.0180 2.0180
Ta 5.9851 2.0180 5.9851
Ta 5.9851 5.9851 2.0180
Ta 5.9851 5.9851 5.9851
O 0.0000 2.0581 2.0581
O 0.0000 2.0581 5.9450
O 0.0000 5.9450 2.0581
O 0.0000 5.9450 5.9450
O 2.0250 2.0250 4.0016
O 2.0250 4.0016 2.0250
O 2.0250 4.0016 5.9782
O 2.0250 5.9782 4.0016
O 2.0581 0.0000 2.0581
O 2.0581 0.0000 5.9450
O 2.0581 2.0581 0.0000
O 2.0581 5.9450 0.0000
O 4.0016 2.0250 2.0250
O 4.0016 2.0250 5.9782
O 4.0016 5.9782 2.0250
O 4.0016 5.9782 5.9782
O 5.9450 0.0000 2.0581
O 5.9450 0.0000 5.9450
O 5.9450 2.0581 0.0000
O 5.9450 5.9450 0.0000
O 5.9782 2.0250 4.0016
O 5.9782 4.0016 2.0250
O 5.9782 4.0016 5.9782
O 5.9782 5.9782 4.0016
```

Output
Raw formation energy, eV per atom: -2.60
Final energy, eV per atom: -8.198

***

(18)
## HoSiAg (PBE)

Data for an optimized crystal structure of HoSiAg.

```
3
Lattice="4.3952 0.0000 0.0000 -2.1976 3.8064 0.0000 0.0000 0.0000 3.6296" Properties=species:S:1:pos:R:3 pbc="T T T"
Ho 0.0000 0.0000 0.0000
Si 2.1976 1.2688 1.8148
Ag 0.0000 2.5376 1.8148
```

Output
Raw formation energy, eV per atom: -0.49
Final energy, eV per atom: -4.776

***

(19)
## SbAsBr2 (PBE)

Data for an optimized crystal structure of SbAsBr2.

```
4
Lattice="3.3016 -4.5202 0.0000 3.3016 4.5202 0.0000 0.0000 0.0000 3.3000" Properties=species:S:1:pos:R:3 pbc="T T T"
Sb 0.0000 0.0000 0.0000
As 3.3016 0.0000 0.0000
Br 1.6508 2.2601 1.6500
Br 1.6508 -2.2601 1.6500
```

Output
Raw formation energy, eV per atom: 0.44
Final energy, eV per atom: -2.591
ΔE to the lowest computed polymorph, meV/atom: 708

***

(20)
## ZrIn3Se6 (PBE)

Data for an optimized crystal structure of ZrIn3Se6.

```
20
Lattice="11.8750 0.0000 0.0000 0.0000 3.9406 0.0000 -4.8677 0.0000 12.1039" Properties=species:S:1:pos:R:3 pbc="T T T"
Zr 2.1001 0.9852 0.0944
Zr 4.9071 2.9555 12.0095
In -0.0124 2.9555 3.5798
In -0.4025 2.9555 9.4785
In 2.3362 0.9852 6.6075
In 4.6710 2.9555 5.4964
In 7.4098 0.9852 2.6254
In 7.0196 0.9852 8.5241
Se -4.3629 2.9555 10.9006
Se -2.1340 0.9852 9.2777
Se -0.0785 0.9852 5.3900
Se 2.1804 2.9555 2.1173
Se -0.7146 2.9555 12.0827
Se 1.9697 2.9555 8.4427
Se 5.0375 0.9852 3.6612
Se 7.7219 0.9852 0.0212
Se 4.8268 0.9852 9.9866
Se 7.0857 2.9555 6.7139
Se 9.1412 2.9555 2.8262
Se 11.3702 0.9852 1.2033
```

Output
Raw formation energy, eV per atom: -0.68
Final energy, eV per atom: -4.445